16
Lattice="-3.982 4.722 6.352 3.982 -4.722 6.352 3.982 4.722 -6.352" Properties=species:S:1:pos:R:3 comment="PBE RbNa2TeSe4, optimized geometry" total_magnetization_mub_per_atom=0.11 raw_formation_energy_mev_per_atom=-527.1 spacegroup="No. 74" pbc="T T T"
Rb 0.000 0.000 0.000
Rb 0.000 4.722 0.000
Na 3.982 0.000 0.000
Na -1.991 2.361 3.176
Na 0.000 0.000 6.352
Na 1.991 2.361 3.176
Te 1.991 2.361 -3.176
Te 1.991 -2.361 3.176
Se 3.982 -0.299 3.090
Se 3.982 4.423 -3.090
Se 2.398 2.361 -0.296
Se 5.566 2.361 -0.296
Se -1.584 2.361 6.648
Se 1.584 2.361 6.648
Se 0.000 0.299 9.442
Se 0.000 5.021 3.263

12
Lattice="9.314 -2.187 0.000 9.314 2.187 0.000 -1.681 0.000 8.921" Properties=species:S:1:pos:R:3 comment="PBE RbNa3Th2Se6, optimized geometry" total_magnetization_mub_per_atom=0.00 raw_formation_energy_mev_per_atom=-1471.3 spacegroup="No. 12" pbc="T T T"
Rb 0.000 0.000 0.000
Na -0.841 0.000 4.461
Na 6.105 0.000 1.636
Na 10.842 0.000 7.286
Th 5.159 0.000 5.954
Th 11.788 0.000 2.967
Se 2.268 0.000 5.026
Se 3.168 0.000 1.142
Se 7.894 0.000 6.413
Se 9.053 0.000 2.509
Se 13.779 0.000 7.779
Se 14.679 0.000 3.896

Number 1: raw total energy -3.1128 eV per atom. Number 2: raw total energy -4.8606 eV per atom.